No. 1
The following is a PBE calculation of crystalline TlCd2CuHg at its relaxed geometry, from Alexandria via LeMat-Bulk.

Results
E above lowest polymorph, meV per atom: 19
Total energy, eV/atom: -1.572

Lattice parameters (Å, degrees): 5.141 5.141 5.177 90.00 90.00 90.00
Element x y z (fractional)
Tl  0.000  0.000  0.500
Hg  0.500  0.500  0.500
Cu  0.000  0.000  0.000
Cd  0.000  0.500  0.000
Cd  0.500  0.000  0.000

***

No. 2
The following is a PBE calculation of crystalline TlCdCuHg2 at its relaxed geometry, from Alexandria via LeMat-Bulk.

Results
E above lowest polymorph, meV per atom: 0
Total energy, eV/atom: -1.482

Lattice parameters (Å, degrees): 5.145 5.145 5.114 90.00 90.00 90.00
Element x y z (fractional)
Tl  0.500  0.500  0.500
Hg  0.000  0.500  0.000
Hg  0.500  0.000  0.000
Cu  0.000  0.000  0.000
Cd  0.000  0.000  0.500

***

No. 3
The following is a PBE calculation of crystalline TmCdCuHg at its relaxed geometry, from Alexandria via LeMat-Bulk.

Results
Total energy, eV/atom: -2.693

Lattice parameters (Å, degrees): 4.868 4.868 4.868 60.00 60.00 60.00
Element x y z (fractional)
Tm  0.250  0.250  0.250
Hg  0.500  0.500  0.500
Cu  0.000  0.000  0.000
Cd  0.750  0.750  0.750

***

No. 4
The following is a PBE calculation of crystalline Tm4CdCuHg2 at its relaxed geometry, from Alexandria via LeMat-Bulk.

Results
Total energy, eV/atom: -3.318

Lattice parameters (Å, degrees): 5.130 5.130 8.856 73.16 73.16 60.00
Element x y z (fractional)
Tm  0.381  0.381  0.857
Tm  0.870  0.870  0.390
Tm  0.130  0.130  0.610
Tm  0.619  0.619  0.143
Cd  0.000  0.000  0.000
Cu  0.500  0.500  0.500
Hg  0.746  0.746  0.762
Hg  0.254  0.254  0.238

***

No. 5
The following is a PBE calculation of crystalline Y4CdCuHg2 at its relaxed geometry, from Alexandria via LeMat-Bulk.

Results
Total energy, eV/atom: -4.329

Lattice parameters (Å, degrees): 5.214 5.214 8.994 73.15 73.15 60.00
Element x y z (fractional)
Y  0.381  0.381  0.857
Y  0.870  0.870  0.390
Y  0.130  0.130  0.610
Y  0.619  0.619  0.143
Cd  0.000  0.000  0.000
Cu  0.500  0.500  0.500
Hg  0.746  0.746  0.762
Hg  0.254  0.254  0.238

***

No. 6
The following is a PBE calculation of crystalline YCd2CuHg at its relaxed geometry, from Alexandria via LeMat-Bulk.

Results
Total energy, eV/atom: -1.980

Lattice parameters (Å, degrees): 5.250 5.761 5.250 90.00 90.00 90.00
Element x y z (fractional)
Y  0.000  0.500  0.000
Hg  0.000  0.000  0.000
Cu  0.500  0.500  0.500
Cd  0.000  0.000  0.500
Cd  0.500  0.000  0.000

***

No. 7
The following is a PBE calculation of crystalline ZnCd2CuHg at its relaxed geometry, from Alexandria via LeMat-Bulk.

Results
Total energy, eV/atom: -1.315

Lattice parameters (Å, degrees): 5.113 5.113 4.718 90.00 90.00 90.00
Element x y z (fractional)
Zn  0.000  0.000  0.500
Hg  0.500  0.500  0.500
Cu  0.000  0.000  0.000
Cd  0.000  0.500  0.000
Cd  0.500  0.000  0.000

***

No. 8
The following is a PBE calculation of crystalline HoCdCu at its relaxed geometry, from Alexandria via LeMat-Bulk.

Results
Total energy, eV/atom: -3.392

Lattice parameters (Å, degrees): 7.558 4.137 4.137 90.00 90.00 90.00
Element x y z (fractional)
Ho  0.850  0.000  0.500
Ho  0.150  0.500  0.000
Cd  0.500  0.000  0.000
Cd  0.500  0.500  0.500
Cu  0.237  0.000  0.500
Cu  0.763  0.500  0.000

***

No. 9
The following is a PBE calculation of crystalline HoCdCu at its relaxed geometry, from Alexandria via LeMat-Bulk.

Results
Total energy, eV/atom: -3.405

Lattice parameters (Å, degrees): 3.369 4.658 4.658 120.00 90.00 90.00
Element x y z (fractional)
Ho  0.667  0.667  0.333
Cu  0.166  0.333  0.667
Cd  0.167  0.000  0.000

***

No. 10
The following is a PBE calculation of crystalline HoCdCu at its relaxed geometry, from Alexandria via LeMat-Bulk.

Results
Total energy, eV/atom: -3.244

Lattice parameters (Å, degrees): 6.161 6.161 8.415 108.51 108.51 97.62
Element x y z (fractional)
Ho  0.674  0.674  0.348
Ho  0.326  0.326  0.652
Ho  0.576  0.076  0.152
Ho  0.924  0.424  0.848
Cu  0.901  0.401  0.500
Cu  0.651  0.651  0.000
Cu  0.599  0.099  0.500
Cu  0.349  0.349  0.000
Cd  0.125  0.375  0.250
Cd  0.125  0.875  0.750
Cd  0.125  0.875  0.250
Cd  0.625  0.875  0.750

***

No. 11
The following is a PBE calculation of crystalline HoCdCu at its relaxed geometry, from Alexandria via LeMat-Bulk.

Results
Total energy, eV/atom: -3.359

Lattice parameters (Å, degrees): 3.387 3.387 5.976 106.46 106.46 90.00
Element x y z (fractional)
Ho  0.935  0.935  0.870
Cu  0.276  0.276  0.552
Cd  0.639  0.639  0.278

***

No. 12
The following is a PBE calculation of crystalline Ho3CdCu8 at its relaxed geometry, from Alexandria via LeMat-Bulk.

Results
E above lowest polymorph, meV per atom: 0
Total energy, eV/atom: -4.174

Lattice parameters (Å, degrees): 5.176 5.176 8.452 90.00 90.00 120.00
Element x y z (fractional)
Ho  0.667  0.333  0.453
Ho  0.667  0.333  0.066
Ho  0.000  0.000  0.921
Cd  0.000  0.000  0.553
Cu  0.333  0.667  0.502
Cu  0.333  0.667  0.004
Cu  0.499  0.998  0.751
Cu  0.499  0.501  0.751
Cu  0.002  0.501  0.751
Cu  0.165  0.331  0.250
Cu  0.165  0.835  0.250
Cu  0.669  0.835  0.250